This record from Alexandria describes a relaxed structure of TaBRu2. The functional is PBE-GGA.

a b c (Å): 2.9401 2.9401 6.0298
angles (deg): 90.00 90.00 90.00
With the nearest neighbours (Å) after each atom.
Positions (direct):
Ta1 0.0000 0.0000 0.0000  8 Ru 2.71, 4 Ta 2.94, 2 B 3.01
B1 0.0000 0.0000 0.5000  8 Ru 2.44
Ru1 0.5000 0.5000 0.2886  4 B 2.44, 1 Ru 2.55, 4 Ta 2.71
Ru2 0.5000 0.5000 0.7114  4 B 2.44, 1 Ru 2.55, 4 Ta 2.71

Results
Magnetization   0.0 μB per formula unit
Calculated formation energy   -34 kJ/mol of formula units
Space group   P4/mmm
VASP energy   -9.358 eV/atom